Computed, not measured: a relaxed SmHg2Pt6 crystal at the GGA-PBE level of DFT.

```
9
Lattice="0.0000 4.5719 4.5719 4.5719 0.0000 4.5719 4.5719 4.5719 0.0000" Properties=species:S:1:pos:R:3 pbc="T T T"
Sm 0.0000 0.0000 0.0000
Hg 2.2859 2.2859 2.2859
Hg 6.8578 6.8578 6.8578
Pt 4.5719 4.5719 2.6605
Pt 4.5719 2.6605 4.5719
Pt 6.4832 4.5719 4.5719
Pt 2.6605 4.5719 4.5719
Pt 4.5719 6.4832 4.5719
Pt 4.5719 4.5719 6.4832
```

Summary:
raw total energy = -38.77 eV for the cell shown
total moment = 0.000 μB/f.u.
ΔH_f (0 K) = 310.9 meV/atom
Fermi-level density of states = 1.120 states/eV per atom